Record 1
Compound: BaGa2PdAu
Source: Alexandria
Functional: PBE-GGA
Structure: relaxed

Its formation energy is -0.44 eV/atom. The space group is No. 123.

Structure (extended XYZ):
```
5
Lattice="4.8411 0.0000 0.0000 0.0000 4.8411 0.0000 0.0000 0.0000 5.4096" Properties=species:S:1:pos:R:3 pbc="T T T"
Ga 0.0000 2.4205 0.0000
Ga 2.4205 0.0000 0.0000
Au 0.0000 0.0000 2.7048
Ba 2.4205 2.4205 2.7048
Pd 0.0000 0.0000 0.0000
```

Record 2
Compound: Ba2GaPdAu6
Source: Alexandria
Functional: PBE-GGA
Structure: relaxed

Its formation energy is -0.42 eV/atom. The space group is No. 12.

Structure (extended XYZ):
```
10
Lattice="-2.1126 5.0830 -4.7155 -6.7854 -2.5316 0.3025 -5.3333 4.4172 1.7367" Properties=species:S:1:pos:R:3 pbc="T T T"
Ba -5.9485 5.3881 -2.5904
Ba -8.2828 1.5805 -0.0860
Ga -4.4490 1.2757 -2.2065
Pd 0.0000 0.0000 0.0000
Au -4.8722 2.8115 -0.2704
Au -11.9608 6.3161 -1.5537
Au -10.9269 3.8274 0.7595
Au -3.3044 3.1412 -3.4358
Au -2.2705 0.6525 -1.1226
Au -9.3591 4.1571 -2.4060
```

Record 3
Compound: Ba2Ga4Pd3Au
Source: Alexandria
Functional: PBE-GGA
Structure: relaxed

Its formation energy is -0.64 eV/atom. The space group is No. 115.

Structure (extended XYZ):
```
10
Lattice="4.6095 0.0000 0.0000 0.0000 4.6095 0.0000 0.0000 0.0000 10.4968" Properties=species:S:1:pos:R:3 pbc="T T T"
Ba 2.3048 0.0000 2.6340
Ba 0.0000 2.3048 7.8628
Ga 2.3048 2.3048 0.0000
Ga 0.0000 0.0000 0.0000
Ga 2.3048 0.0000 6.5317
Ga 0.0000 2.3048 3.9650
Pd 0.0000 0.0000 5.2484
Pd 2.3048 0.0000 9.2234
Pd 0.0000 2.3048 1.2734
Au 2.3048 2.3048 5.2484
```

Record 4
Compound: Ba2Ga3Pd4Au
Source: Alexandria
Functional: PBE-GGA
Structure: relaxed

Its formation energy is -0.63 eV/atom. The space group is No. 115.

Structure (extended XYZ):
```
10
Lattice="4.5916 0.0000 0.0000 0.0000 4.5916 0.0000 0.0000 0.0000 10.5129" Properties=species:S:1:pos:R:3 pbc="T T T"
Ba 2.2958 0.0000 2.6334
Ba 0.0000 2.2958 7.8794
Ga 0.0000 0.0000 5.2564
Ga 2.2958 0.0000 9.3354
Ga 0.0000 2.2958 1.1775
Pd 2.2958 2.2958 0.0000
Pd 0.0000 0.0000 0.0000
Pd 2.2958 0.0000 6.7681
Pd 0.0000 2.2958 3.7448
Au 2.2958 2.2958 5.2564
```

Record 5
Compound: BaPmGaAu
Source: Alexandria
Functional: PBE-GGA
Structure: relaxed

Its formation energy is -0.44 eV/atom. The space group is No. 216.

Structure (extended XYZ):
```
4
Lattice="-2.1564 1.0563 -4.9221 0.7047 -3.5433 -4.1160 -4.2348 -2.9542 -1.8254" Properties=species:S:1:pos:R:3 pbc="T T T"
Au -4.2649 -4.0809 -8.1476
Ba -2.8432 -2.7206 -5.4317
Ga -1.4216 -1.3603 -2.7159
Pm 0.0000 0.0000 0.0000
```

Record 6
Compound: BaPrGaAu
Source: Alexandria
Functional: PBE-GGA
Structure: relaxed

Its formation energy is -0.45 eV/atom. The space group is No. 216.

Structure (extended XYZ):
```
4
Lattice="5.5145 0.0000 0.0000 2.7572 4.7757 0.0000 2.7572 1.5919 4.5026" Properties=species:S:1:pos:R:3 pbc="T T T"
Pr 0.0000 0.0000 0.0000
Au 8.2717 4.7757 3.3769
Ba 5.5145 3.1838 2.2513
Ga 2.7572 1.5919 1.1256
```

Record 7
Compound: BaGa2PtAu
Source: Alexandria
Functional: PBE-GGA
Structure: relaxed

Its formation energy is -0.52 eV/atom. The space group is No. 123.

Structure (extended XYZ):
```
5
Lattice="4.8378 0.0000 0.0000 0.0000 4.8378 0.0000 0.0000 0.0000 5.4274" Properties=species:S:1:pos:R:3 pbc="T T T"
Ga 0.0000 2.4189 0.0000
Ga 2.4189 0.0000 0.0000
Au 0.0000 0.0000 2.7137
Ba 2.4189 2.4189 2.7137
Pt 0.0000 0.0000 0.0000
```

Record 8
Compound: Ba2Ga3PtAu12
Source: Alexandria
Functional: PBE-GGA
Structure: relaxed

Its formation energy is -0.14 eV/atom. The space group is No. 166.

Structure (extended XYZ):
```
18
Lattice="-0.8555 2.5441 8.2721 -7.9585 0.0290 3.5063 -1.8913 -6.0127 5.9919" Properties=species:S:1:pos:R:3 pbc="T T T"
Ba -6.5490 -2.1042 10.8711
Ba -4.1562 -1.3354 6.8991
Ga -0.4278 1.2721 4.1361
Ga -3.9792 0.0145 1.7531
Ga -0.9456 -3.0064 2.9959
Pt 0.0000 0.0000 0.0000
Au -4.8775 -5.0775 9.9489
Au -8.4336 0.1024 12.5153
Au -8.9724 -4.3495 11.3289
Au -4.2048 0.4798 11.4298
Au -5.2769 -3.0410 13.8085
Au -8.8178 -1.1537 8.3347
Au -5.8278 1.6378 7.8213
Au -2.2717 -3.5420 5.2550
Au -1.7328 0.9099 6.4413
Au -6.5004 -3.9194 6.3404
Au -5.4283 -0.3987 3.9618
Au -1.8874 -2.2859 9.4356
```

Record 9
Compound: Ba2Ga3Pt4Au
Source: Alexandria
Functional: PBE-GGA
Structure: relaxed

Its formation energy is -0.72 eV/atom. The space group is No. 115.

Structure (extended XYZ):
```
10
Lattice="4.5730 0.0000 0.0000 0.0000 4.5730 0.0000 0.0000 0.0000 10.5162" Properties=species:S:1:pos:R:3 pbc="T T T"
Ba 2.2865 0.0000 2.6221
Ba 0.0000 2.2865 7.8941
Ga 0.0000 0.0000 5.2581
Ga 2.2865 0.0000 9.3140
Ga 0.0000 2.2865 1.2022
Pt 2.2865 2.2865 0.0000
Pt 0.0000 0.0000 0.0000
Pt 2.2865 0.0000 6.7793
Pt 0.0000 2.2865 3.7369
Au 2.2865 2.2865 5.2581
```

Record 10
Compound: Ba2GaPtAu6
Source: Alexandria
Functional: PBE-GGA
Structure: relaxed

Its formation energy is -0.43 eV/atom. The space group is No. 12.

Structure (extended XYZ):
```
10
Lattice="-4.7339 -5.4990 -0.1625 1.3158 -1.3478 7.0084 -5.4242 -0.1119 4.6404" Properties=species:S:1:pos:R:3 pbc="T T T"
Ba -5.9351 -4.5150 3.9516
Ba -2.9071 -2.4437 7.5347
Ga -1.7090 -3.4234 3.4230
Pt 0.0000 0.0000 0.0000
Au -3.5211 -1.7994 4.0113
Au -7.9660 -5.2108 9.7347
Au -5.6544 -2.5206 9.8154
Au -3.1879 -4.4381 1.6709
Au -0.8763 -1.7478 1.7517
Au -5.3212 -5.1593 7.4750
```

Record 11
Compound: Ba2Ga4PtAu3
Source: Alexandria
Functional: PBE-GGA
Structure: relaxed

Its formation energy is -0.62 eV/atom. The space group is No. 115.

Structure (extended XYZ):
```
10
Lattice="-1.0748 3.6967 2.6314 -3.6609 0.8914 -2.7475 -6.1133 -6.1543 6.1489" Properties=species:S:1:pos:R:3 pbc="T T T"
Ba -2.0748 0.3006 2.8621
Ba -6.4063 -4.1609 3.2288
Ga -2.3678 2.2941 -0.0580
Ga 0.0000 0.0000 0.0000
Ga -4.2882 -1.9276 5.0884
Ga -4.1929 -1.9326 1.0025
Pt -5.4245 -0.7831 3.0164
Au -3.0566 -3.0771 3.0745
Au -5.8522 -3.5021 6.6615
Au -2.6289 -0.3581 -0.5706
```

Record 12
Compound: Ba2Ga4Pt3Au
Source: Alexandria
Functional: PBE-GGA
Structure: relaxed

Its formation energy is -0.74 eV/atom. The space group is No. 115.

Structure (extended XYZ):
```
10
Lattice="-1.6772 4.3071 0.1983 -1.7787 -0.8850 4.1781 8.7655 3.2101 4.4116" Properties=species:S:1:pos:R:3 pbc="T T T"
Ba 1.3644 2.9603 1.2079
Ba 5.6731 1.9609 5.3919
Ga -1.7279 1.7111 2.1882
Ga 0.0000 0.0000 0.0000
Ga 4.6259 4.1548 2.8494
Ga 2.4116 0.7664 3.7504
Pt 4.3827 1.6051 2.2058
Pt 6.8677 4.9758 3.9777
Pt 0.1698 -0.0546 2.6221
Au 2.6548 3.3161 4.3940
```

Record 13
Compound: BaGa3PtAu
Source: Alexandria
Functional: PBE-GGA
Structure: relaxed

Its formation energy is -0.49 eV/atom. The space group is No. 63.

Structure (extended XYZ):
```
12
Lattice="-4.2040 -3.5262 4.3868 -3.8537 -1.7402 -5.0919 5.4624 -4.4233 1.6792" Properties=species:S:1:pos:R:3 pbc="T T T"
Ba -1.4471 -5.1986 2.8719
Ba -1.1482 -4.4910 -1.8978
Ga 0.5269 -3.2440 0.7099
Ga -1.0163 -0.4589 -1.3428
Ga -4.9394 -3.0444 -1.5557
Ga -3.1183 -2.2220 0.8505
Ga -2.8374 -1.2813 -3.7491
Ga -3.1222 -6.4457 0.2642
Pt -0.7632 -1.3125 1.0261
Pt -1.8321 -8.3772 -0.0520
Au 1.8615 -5.2421 0.3827
Au -4.4567 -4.4476 0.5914
```

Record 14
Compound: BaGa2RhAu
Source: Alexandria
Functional: PBE-GGA
Structure: relaxed

Its formation energy is -0.52 eV/atom. The space group is No. 123.

Structure (extended XYZ):
```
5
Lattice="4.7730 0.0000 0.0000 0.0000 4.7730 0.0000 0.0000 0.0000 5.4411" Properties=species:S:1:pos:R:3 pbc="T T T"
Rh 0.0000 0.0000 0.0000
Au 0.0000 0.0000 2.7206
Ba 2.3865 2.3865 2.7206
Ga 0.0000 2.3865 0.0000
Ga 2.3865 0.0000 0.0000
```

Record 15
Compound: Ba8GaRhAu2
Source: Alexandria
Functional: PBE-GGA
Structure: relaxed

Its formation energy is -0.35 eV/atom. The space group is No. 10.

Structure (extended XYZ):
```
12
Lattice="7.7868 0.0335 -0.0050 0.0783 7.6520 -0.0090 0.0062 0.0116 9.8304" Properties=species:S:1:pos:R:3 pbc="T T T"
Ba 1.4249 6.0392 2.2444
Ba 5.4482 5.6461 9.8203
Ba 6.4431 1.6516 2.2463
Ba 6.4464 1.6579 7.5720
Ba 2.4232 2.0511 -0.0039
Ba 1.4283 6.0456 7.5701
Ba 5.3342 5.5377 4.9054
Ba 2.5372 2.1595 4.9110
Ga 0.0031 0.0058 4.9152
Rh 0.0000 0.0000 0.0000
Au 3.9372 3.8515 7.3923
Au 3.9342 3.8457 2.4241
```

Record 16
Compound: BaGa2RuAu
Source: Alexandria
Functional: PBE-GGA
Structure: relaxed

Its formation energy is -0.38 eV/atom. The space group is No. 123.

Structure (extended XYZ):
```
5
Lattice="-1.7136 -3.2288 3.0859 4.1554 0.0591 2.3693 -1.8651 4.0206 3.1710" Properties=species:S:1:pos:R:3 pbc="T T T"
Ru 0.0000 0.0000 0.0000
Au -0.9326 2.0103 1.5855
Ba 0.2883 0.4254 4.3131
Ga 2.0777 0.0295 1.1846
Ga -0.8568 -1.6144 1.5430
```

Record 17
Compound: Ba2Ga3SbAu12
Source: Alexandria
Functional: PBE-GGA
Structure: relaxed

Its raw formation energy is -0.157 eV/atom. The space group is No. 166.

Structure (extended XYZ):
```
18
Lattice="-7.7743 -2.7874 3.6327 -3.0588 -8.4015 -1.2102 -0.2066 -5.9907 6.7435" Properties=species:S:1:pos:R:3 pbc="T T T"
Ba -6.7229 -10.4619 5.5819
Ba -4.3169 -6.7177 3.5842
Ga -3.8872 -1.3937 1.8164
Ga -1.5294 -4.2008 -0.6051
Ga -0.1033 -2.9954 3.3718
Sb 0.0000 0.0000 0.0000
Au -3.9000 -9.7159 7.4656
Au -9.5936 -12.0411 4.6174
Au -5.7383 -13.6729 6.2021
Au -8.7681 -7.6553 5.4646
Au -8.1406 -10.8129 8.6693
Au -5.7348 -11.2666 2.3493
Au -7.1397 -7.4638 1.7004
Au -1.4462 -5.1386 4.5487
Au -5.3015 -3.5067 2.9640
Au -2.2717 -9.5244 3.7015
Au -2.8992 -6.3667 0.4968
Au -5.3050 -5.9130 6.8168
```

Record 18
Compound: Ba2GaSb4Au3
Source: Alexandria
Functional: PBE-GGA
Structure: relaxed

Its raw formation energy is -0.570 eV/atom. The space group is No. 115.

Structure (extended XYZ):
```
10
Lattice="5.0197 0.0000 0.0000 0.0000 5.0197 0.0000 0.0000 0.0000 11.0685" Properties=species:S:1:pos:R:3 pbc="T T T"
Ba 2.5098 0.0000 2.8026
Ba 0.0000 2.5098 8.2658
Ga 2.5098 2.5098 5.5342
Sb 2.5098 2.5098 0.0000
Sb 0.0000 0.0000 0.0000
Sb 2.5098 0.0000 6.9252
Sb 0.0000 2.5098 4.1433
Au 0.0000 0.0000 5.5342
Au 2.5098 0.0000 9.6716
Au 0.0000 2.5098 1.3968
```

Record 19
Compound: Ba2Ga4SbAu3
Source: Alexandria
Functional: PBE-GGA
Structure: relaxed

Its raw formation energy is -0.556 eV/atom. The space group is No. 115.

Structure (extended XYZ):
```
10
Lattice="-1.0504 -1.8382 -4.2383 4.3551 1.0561 -1.5373 3.5508 -9.7614 3.3536" Properties=species:S:1:pos:R:3 pbc="T T T"
Ba 0.3413 -3.3012 -1.3008
Ba 4.8619 -6.8513 1.7665
Ga 1.6524 -0.3911 -2.8878
Ga 0.0000 0.0000 0.0000
Ga 1.7527 -7.1812 0.0322
Ga 3.4505 -2.9713 0.4335
Sb 3.4278 -5.2718 -1.2111
Au 1.7754 -4.8807 1.6768
Au 2.6076 -9.5312 0.8395
Au 2.5956 -0.6213 -0.3738
```

Record 20
Compound: Ba2GaSbAu6
Source: Alexandria
Functional: PBE-GGA
Structure: relaxed

Its raw formation energy is -0.495 eV/atom. The space group is No. 2.

Structure (extended XYZ):
```
10
Lattice="-2.3560 6.6294 1.6222 -6.7808 -3.0268 -0.4933 -3.4528 2.5147 5.8212" Properties=species:S:1:pos:R:3 pbc="T T T"
Ba -7.6085 0.4507 2.6961
Ba -4.9811 5.6665 4.2540
Ga -4.5684 1.8013 0.5644
Sb 0.0000 0.0000 0.0000
Au -5.5054 -0.5745 0.1354
Au -6.3520 3.4554 1.7080
Au -4.1900 2.1002 3.1097
Au -7.0842 6.6918 6.8147
Au -6.2376 2.6618 5.2420
Au -8.3996 4.0171 3.8404
```

Record 21
Compound: BaGaSiAu6
Source: Alexandria
Functional: PBE-GGA
Structure: relaxed

Its raw formation energy is -0.172 eV/atom. The space group is No. 74.

Structure (extended XYZ):
```
18
Lattice="8.0977 0.0000 0.0000 0.0000 8.9705 0.0000 -4.0489 -4.4853 6.4390" Properties=species:S:1:pos:R:3 pbc="T T T"
Ba 4.0489 2.2426 4.6303
Ba 0.0000 2.2426 1.8086
Ga 2.0244 -2.2426 3.2195
Ga -2.0244 -2.2426 3.2195
Si 4.0489 4.4853 0.0000
Si 4.0489 0.0000 0.0000
Au 0.0000 2.2426 5.4302
Au 4.0489 -2.2426 4.8300
Au 5.5538 -0.0699 1.9393
Au 2.5439 4.5551 1.9393
Au 2.5439 -0.0699 1.9393
Au 5.5538 4.5551 1.9393
Au 4.0489 2.2426 1.0087
Au 0.0000 6.7279 1.6090
Au -1.5050 4.5551 4.4997
Au 1.5050 -0.0699 4.4997
Au 1.5050 4.5551 4.4997
Au -1.5050 -0.0699 4.4997
```

Record 22
Compound: Ba2GaSi2Au6
Source: Alexandria
Functional: PBE-GGA
Structure: relaxed

Its raw formation energy is -0.447 eV/atom. The space group is No. 166.

Structure (extended XYZ):
```
11
Lattice="7.0018 0.0000 0.0000 3.5009 6.0637 0.0000 3.5009 2.0212 6.6555" Properties=species:S:1:pos:R:3 pbc="T T T"
Ba 10.5026 6.0637 5.3522
Ba 3.5009 2.0212 1.3033
Ga 0.0000 0.0000 0.0000
Si 7.0017 4.0425 4.5203
Si 7.0018 4.0425 2.1353
Au 9.0699 5.2365 2.0280
Au 4.9336 5.2365 2.0280
Au 7.0018 1.6544 2.0280
Au 7.0018 6.4305 4.6275
Au 9.0699 2.8484 4.6275
Au 4.9336 2.8484 4.6275
```

Record 23
Compound: BaGa2SiAu
Source: Alexandria
Functional: PBE-GGA
Structure: relaxed

Its raw formation energy is -0.446 eV/atom. The space group is No. 44.

Structure (extended XYZ):
```
5
Lattice="4.5744 0.0000 0.0000 0.0000 4.5993 0.0000 -2.2872 -2.2996 5.3362" Properties=species:S:1:pos:R:3 pbc="T T T"
Ba 0.0000 0.0000 4.7396
Ga 2.2872 0.0000 2.0438
Ga 0.0000 0.0000 0.6373
Si 2.2872 2.2996 3.3921
Au 0.0000 2.2996 2.1236
```

| no. | E_tot (eV/f.u.) |
| --- | --- |
| 1 | -18.65 |
| 2 | -35.95 |
| 3 | -41.17 |
| 4 | -43.29 |
| 5 | -14.75 |
| 6 | -14.82 |
| 7 | -19.91 |
| 8 | -60.82 |
| 9 | -47.56 |
| 10 | -36.87 |
| 11 | -38.03 |
| 12 | -44.76 |
| 13 | -23.24 |
| 14 | -21.19 |
| 15 | -36.54 |
| 16 | -22.41 |
| 17 | -59.20 |
| 18 | -38.89 |
| 19 | -35.47 |
| 20 | -35.61 |
| 21 | -31.59 |
| 22 | -42.30 |
| 23 | -18.91 |